Here is an optimized crystal structure of NiWF2 from the Alexandria database. Energies are from PBE+U.

For the calculated total energy, the calculation gives -0.1134 hartree per atom. The calculation puts the mass density at 9.45 g cm⁻³. Its distance to the lowest polymorph of the same formula is 1.65 eV/f.u.

The structure belongs to space group Fm-3m (No. 225); the cell edges are 5.8210, 5.8210 and 5.8210 Å and the angles 90.00°, 90.00° and 90.00°. The inequivalent atoms are Ni at (0.0000, 0.0000, 0.0000), W at (0.0000, 0.0000, 0.5000) and F at (0.2500, 0.2500, 0.2500).